No. 1
DFT (PBE-GGA) results for a geometry-optimized NaMgTe2I structure.

Geometry as extended XYZ:
```
5
Lattice="5.503 0.000 0.000 0.000 5.503 0.000 0.000 0.000 6.082" Properties=species:S:1:pos:R:3 pbc="T T T"
Na 0.000 0.000 0.000
Mg 2.752 2.752 3.041
Te 0.000 2.752 3.041
Te 2.752 0.000 3.041
I 2.752 2.752 0.000
```

***

No. 2
DFT (PBE-GGA) results for a geometry-optimized NaMgTe2I structure.

Geometry as extended XYZ:
```
5
Lattice="5.537 0.000 0.000 0.000 5.537 0.000 0.000 0.000 5.869" Properties=species:S:1:pos:R:3 pbc="T T T"
Na 0.000 0.000 0.000
Mg 2.768 2.768 2.934
Te 0.000 2.768 0.000
Te 2.768 0.000 0.000
I 0.000 0.000 2.934
```

***

No. 3
DFT (PBE-GGA) results for a geometry-optimized NaMgTeI2 structure.

Geometry as extended XYZ:
```
5
Lattice="5.862 0.000 0.000 0.000 5.862 0.000 0.000 0.000 5.559" Properties=species:S:1:pos:R:3 pbc="T T T"
Na 0.000 0.000 0.000
Mg 2.931 2.931 2.780
Te 2.931 2.931 0.000
I 0.000 2.931 2.780
I 2.931 0.000 2.780
```

***

No. 4
DFT (PBE-GGA) results for a geometry-optimized NaMgTeI2 structure.

Geometry as extended XYZ:
```
5
Lattice="5.722 0.000 0.000 0.000 5.722 0.000 0.000 0.000 5.897" Properties=species:S:1:pos:R:3 pbc="T T T"
Na 0.000 0.000 0.000
Mg 2.861 2.861 2.948
Te 0.000 0.000 2.948
I 0.000 2.861 0.000
I 2.861 0.000 0.000
```

***

No. 5
DFT (PBE-GGA) results for a geometry-optimized NaMgTlI4 structure.

Geometry as extended XYZ:
```
14
Lattice="7.865 0.000 0.000 0.000 8.294 0.000 -2.631 0.000 8.972" Properties=species:S:1:pos:R:3 pbc="T T T"
Na 1.650 2.074 0.598
Na 3.585 6.221 8.374
Mg -0.238 6.221 7.364
Mg 5.472 2.074 1.608
Tl 0.246 2.074 4.932
Tl 4.988 6.221 4.040
I -1.998 0.009 6.899
I -1.998 4.138 6.899
I 1.832 6.221 5.599
I 3.388 6.221 0.922
I 1.846 2.074 8.049
I 3.402 2.074 3.372
I 7.232 4.156 2.073
I 7.232 8.285 2.073
```

***

No. 6
DFT (PBE-GGA) results for a geometry-optimized NaMgTl2I5 structure.

Geometry as extended XYZ:
```
18
Lattice="2.242 -9.983 0.000 2.242 9.983 0.000 0.000 0.000 16.251" Properties=species:S:1:pos:R:3 pbc="T T T"
Na 2.242 8.993 8.126
Na 2.242 -8.993 0.000
Mg 2.242 4.556 1.294
Mg 2.242 -4.556 9.420
Tl 2.242 2.671 5.556
Tl 2.242 1.658 11.340
Tl 2.242 -1.658 3.215
Tl 2.242 -2.671 13.681
I 2.242 9.923 13.434
I 2.242 7.432 0.667
I 2.242 5.846 7.481
I 2.242 5.119 11.474
I 2.242 1.671 1.950
I 2.242 -1.671 10.075
I 2.242 -5.119 3.349
I 2.242 -5.846 15.606
I 2.242 -7.432 8.792
I 2.242 -9.923 5.308
```

***

No. 7
DFT (PBE-GGA) results for a geometry-optimized Na3MgTl3I8 structure.

Geometry as extended XYZ:
```
15
Lattice="8.093 -4.669 0.000 8.093 4.669 0.000 -5.401 0.000 8.166" Properties=species:S:1:pos:R:3 pbc="T T T"
Na 0.000 0.000 0.000
Na 4.046 2.334 0.000
Na 4.046 -2.334 0.000
Mg 8.093 0.000 0.000
Tl 1.346 2.334 4.083
Tl 1.346 -2.334 4.083
Tl 5.392 0.000 4.083
I 2.699 0.000 1.813
I 6.856 2.141 1.684
I 3.928 2.141 6.482
I 0.222 0.000 6.482
I 10.563 0.000 1.684
I 6.856 -2.141 1.684
I 3.928 -2.141 6.482
I 8.085 0.000 6.353
```

***

No. 8
DFT (PBE-GGA) results for a geometry-optimized NaMg2VI structure.

Geometry as extended XYZ:
```
5
Lattice="5.787 0.000 0.000 0.000 5.787 0.000 0.000 0.000 4.920" Properties=species:S:1:pos:R:3 pbc="T T T"
Na 0.000 0.000 0.000
Mg 0.000 2.893 2.460
Mg 2.893 0.000 2.460
V 2.893 2.893 0.000
I 2.893 2.893 2.460
```

***

No. 9
DFT (PBE-GGA) results for a geometry-optimized NaMgW2I structure.

Geometry as extended XYZ:
```
5
Lattice="5.225 0.000 0.000 0.000 5.225 0.000 0.000 0.000 5.389" Properties=species:S:1:pos:R:3 pbc="T T T"
Na 0.000 0.000 0.000
Mg 2.612 2.612 2.695
W 0.000 2.612 0.000
W 2.612 0.000 0.000
I 0.000 0.000 2.695
```

***

No. 10
DFT (PBE-GGA) results for a geometry-optimized NaYMgI6 structure.

Geometry as extended XYZ:
```
18
Lattice="7.632 0.000 0.000 -3.816 6.610 0.000 0.000 0.000 14.476" Properties=species:S:1:pos:R:3 pbc="T T T"
Na 0.000 0.000 0.000
Na 0.000 0.000 7.238
Y 0.000 4.407 3.619
Y 3.816 2.203 10.857
Mg 0.000 4.407 10.857
Mg 3.816 2.203 3.619
I -1.308 2.385 9.143
I -2.404 4.284 12.571
I 1.308 2.385 12.571
I -1.096 6.550 9.143
I 2.720 0.060 1.905
I 1.412 2.326 5.333
I 2.404 4.284 9.143
I 1.096 6.550 12.571
I 4.912 0.060 5.333
I 2.508 4.224 1.905
I 6.221 2.326 1.905
I 5.124 4.224 5.333
```

***

No. 11
DFT (PBE-GGA) results for a geometry-optimized Mg2NbI structure.

Geometry as extended XYZ:
```
16
Lattice="7.290 0.000 0.000 0.000 7.290 0.000 0.000 0.000 7.290" Properties=species:S:1:pos:R:3 pbc="T T T"
Mg 1.822 1.822 1.822
Mg 1.822 1.822 5.467
Mg 1.822 5.467 1.822
Mg 1.822 5.467 5.467
Mg 5.467 1.822 1.822
Mg 5.467 1.822 5.467
Mg 5.467 5.467 1.822
Mg 5.467 5.467 5.467
Nb 0.000 0.000 0.000
Nb 0.000 3.645 3.645
Nb 3.645 0.000 3.645
Nb 3.645 3.645 0.000
I 0.000 0.000 3.645
I 0.000 3.645 0.000
I 3.645 0.000 0.000
I 3.645 3.645 3.645
```

***

No. 12
DFT (PBE-GGA) results for a geometry-optimized MgNbI2 structure.

Geometry as extended XYZ:
```
16
Lattice="7.173 0.000 0.000 0.000 7.173 0.000 0.000 0.000 7.173" Properties=species:S:1:pos:R:3 pbc="T T T"
Mg 0.000 0.000 0.000
Mg 0.000 3.587 3.587
Mg 3.587 0.000 3.587
Mg 3.587 3.587 0.000
Nb 0.000 0.000 3.587
Nb 0.000 3.587 0.000
Nb 3.587 0.000 0.000
Nb 3.587 3.587 3.587
I 1.793 1.793 1.793
I 1.793 1.793 5.380
I 1.793 5.380 1.793
I 1.793 5.380 5.380
I 5.380 1.793 1.793
I 5.380 1.793 5.380
I 5.380 5.380 1.793
I 5.380 5.380 5.380
```

***

Energy relative to the elements, uncorrected list, top to bottom, in eV per formula unit: -1.88 1.10 -3.02 0.03 -6.71 -7.93 -14.50 5.11 13.17 -11.07 3.20 1.36
Total magnetic moment list, top to bottom, in μB/atom: 0.000 0.000 0.000 0.205 0.000 0.000 0.000 0.078 1.566 0.000 0.726 0.000